1.
## CrBBr2 (PBE-GGA)

Data for a relaxed structure of CrBBr2.

Cell lengths 8.2946, 8.2946, 8.2946 Å; angles 27.52, 27.52, 27.52 degrees
Last column: nearest neighbours and their distance in Å.
Fractional coordinates of all 4 atoms:
Cr1 0.0000 0.0000 0.0000  2 Br 2.45
B1 0.5000 0.5000 0.5000  6 Br 2.75
Br1 0.1025 0.1025 0.1025  1 Cr 2.45, 3 B 2.75
Br2 0.8975 0.8975 0.8975  1 Cr 2.45, 3 B 2.75

Results
Space-group type = R-3m, No. 166
Uncorrected formation energy = 982 meV per atom
DFT total energy = -3.929 eV/atom
ΔE to the lowest computed polymorph = 0 meV per atom

=====

2.
## SmAu8 (PBE-GGA)

Data for a relaxed structure of SmAu8.

Cell lengths 6.6163, 6.6163, 6.6163 Å; angles 96.69, 96.69, 140.07 degrees
Last column: nearest neighbours and their distance in Å.
Fractional coordinates of all 9 atoms:
Sm1 0.0000 0.0000 0.0000  12 Au 2.97-3.09
Au1 0.0000 0.3372 0.3372  11 Au 2.86-3.08, 1 Sm 2.97
Au2 0.0000 0.6628 0.6628  11 Au 2.86-3.08, 1 Sm 2.97
Au3 0.3310 0.3310 0.6620  10 Au 2.91-3.08, 2 Sm 3.09
Au4 0.3310 0.6690 0.0000  10 Au 2.91-3.08, 2 Sm 3.09
Au5 0.3372 0.0000 0.3372  11 Au 2.86-3.08, 1 Sm 2.97
Au6 0.6628 0.0000 0.6628  11 Au 2.86-3.08, 1 Sm 2.97
Au7 0.6690 0.3310 0.0000  10 Au 2.91-3.08, 2 Sm 3.09
Au8 0.6690 0.6690 0.3380  10 Au 2.91-3.08, 2 Sm 3.09

Results
Space-group type = I4/mmm, No. 139
DFT total energy = -3.682 eV/atom
Energy relative to the elements = -23.6 kJ/mol of atoms

=====

3.
## KTl2Co (PBE-GGA)

Data for a relaxed structure of KTl2Co.

Cell lengths 8.7477, 8.7477, 8.7477 Å; angles 136.25, 136.25, 63.60 degrees
Last column: nearest neighbours and their distance in Å.
Fractional coordinates of all 8 atoms:
K1 0.0000 0.0000 0.0000  8 Tl 4.07-4.11
K2 0.7500 0.2500 0.5000  8 Tl 4.07-4.11
Tl1 0.3709 0.6250 0.2459  2 Co 2.47
Tl2 0.3750 0.6209 0.7459  2 Co 2.47
Tl3 0.3791 0.1250 0.7541  2 Co 2.47
Tl4 0.8750 0.6291 0.2541  2 Co 2.47
Co1 0.2500 0.7500 0.5000  4 Tl 2.47
Co2 0.5000 0.5000 0.0000  4 Tl 2.47

Results
Space-group type = I-42d, No. 122
DFT total energy = -2.862 eV/atom
Energy relative to the elements = 35.9 kJ/mol of atoms

=====

4.
## TbDy2ErSc4 (PBE-GGA)

Data for a relaxed structure of TbDy2ErSc4.

Cell lengths 5.9171, 3.4132, 11.1338 Å; angles 90.00, 100.10, 90.00 degrees
Last column: nearest neighbours and their distance in Å.
Fractional coordinates of all 8 atoms:
Tb1 0.0000 0.0000 0.0000  6 Sc 3.38, 2 Tb 3.41, 4 Dy 3.42
Dy1 0.5000 0.0000 0.5000  6 Sc 3.37, 2 Dy 3.41, 4 Er 3.42
Dy2 0.5000 0.5000 0.0000  6 Sc 3.38, 2 Dy 3.41, 4 Tb 3.42
Er1 0.0000 0.5000 0.5000  6 Sc 3.37, 2 Er 3.41, 4 Dy 3.42
Sc1 0.2500 0.0000 0.7494  3 Dy 3.37-3.38, 2 Er 3.37, 1 Tb 3.38, 6 Sc 3.41-3.42
Sc2 0.2498 0.5000 0.2506  1 Er 3.37, 3 Dy 3.37-3.38, 2 Tb 3.38, 6 Sc 3.41-3.42
Sc3 0.7500 0.0000 0.2506  3 Dy 3.37-3.38, 2 Er 3.37, 1 Tb 3.38, 6 Sc 3.41-3.42
Sc4 0.7502 0.5000 0.7494  1 Er 3.37, 3 Dy 3.37-3.38, 2 Tb 3.38, 6 Sc 3.41-3.42

Results
Space-group type = P2/m, No. 10
DFT total energy = -5.409 eV/atom
Energy relative to the elements = 5.4 kJ/mol of atoms

=====

5.
## NaTb2Hg (PBE-GGA)

Data for a relaxed structure of NaTb2Hg.

Cell lengths 12.0671, 12.0671, 12.0671 Å; angles 16.92, 16.92, 16.92 degrees
Last column: nearest neighbours and their distance in Å.
Fractional coordinates of all 4 atoms:
Na1 0.0000 0.0000 0.0000  2 Tb 3.54, 6 Na 3.55
Tb1 0.0991 0.0991 0.0991  3 Hg 3.16, 1 Na 3.54
Tb2 0.9009 0.9009 0.9009  3 Hg 3.16, 1 Na 3.54
Hg1 0.5000 0.5000 0.5000  6 Tb 3.16

Results
Space-group type = R-3m, No. 166
DFT total energy = -2.685 eV/atom
Energy relative to the elements = 3.4 kJ/mol of atoms
ΔE to the lowest computed polymorph = 92 meV per atom

=====

6.
## POs2Cl2 (PBE-GGA)

Data for a relaxed structure of POs2Cl2.

Cell lengths 6.0409, 6.0409, 4.8416 Å; angles 90.00, 90.00, 90.00 degrees
Last column: nearest neighbours and their distance in Å.
Fractional coordinates of all 10 atoms:
P1 0.0000 0.0000 0.0000  4 Os 2.31
P2 0.5000 0.5000 0.0000  4 Os 2.31
Os1 0.1462 0.3538 0.0000  2 P 2.31, 2 Cl 2.44, 1 Os 2.50
Os2 0.3538 0.8538 0.0000  2 P 2.31, 2 Cl 2.44, 1 Os 2.50
Os3 0.6462 0.1462 0.0000  2 P 2.31, 2 Cl 2.44, 1 Os 2.50
Os4 0.8538 0.6462 0.0000  2 P 2.31, 2 Cl 2.44, 1 Os 2.50
Cl1 0.1822 0.3178 0.5000  2 Os 2.44
Cl2 0.3178 0.8178 0.5000  2 Os 2.44
Cl3 0.6822 0.1822 0.5000  2 Os 2.44
Cl4 0.8178 0.6822 0.5000  2 Os 2.44

Results
Space-group type = P4/mbm, No. 127
Uncorrected formation energy = 300 meV per atom
DFT total energy = -6.012 eV/atom
ΔE to the lowest computed polymorph = 0 meV per atom